[1]
# EuTi2H (GGA-PBE, relaxed)
# electronic total energy	-7.140	eV per atom
# magnetization	1.71	μB/atom
# N(E_F)	15.34	states/eV/cell
# density	6.1	g cm⁻³
data_EuTi2H
_chemical_formula_sum 'Eu3 Ti6 H3'
_cell_length_a 3.0825
_cell_length_b 3.0825
_cell_length_c 24.6436
_cell_angle_alpha 90.00
_cell_angle_beta 90.00
_cell_angle_gamma 120.00
_space_group_name_H-M_alt 'R -3 m'
_space_group_IT_number 166
_space_group_name_Hall '-R 3 2"'
loop_
_atom_site_label
_atom_site_type_symbol
_atom_site_fract_x
_atom_site_fract_y
_atom_site_fract_z
Eu1 Eu 0.0000 0.0000 0.0000
Ti1 Ti 0.0000 0.0000 0.1218
H1 H 0.0000 0.0000 0.5000


[2]
# Eu2TlH (GGA-PBE, relaxed)
# electronic total energy	-6.743	eV per atom
# magnetization	3.63	μB/atom
# N(E_F)	2.22	states/eV/cell
# energy relative to the lowest polymorph listed for this composition	0.134	eV per atom
# density	8.8	g cm⁻³
data_Eu2TlH
_chemical_formula_sum 'Eu2 Tl1 H1'
_cell_length_a 3.453
_cell_length_b 3.453
_cell_length_c 8.094
_cell_angle_alpha 90.00
_cell_angle_beta 90.00
_cell_angle_gamma 90.00
_space_group_name_H-M_alt 'P 4/m m m'
_space_group_IT_number 123
_space_group_name_Hall '-P 4 2'
loop_
_atom_site_label
_atom_site_type_symbol
_atom_site_fract_x
_atom_site_fract_y
_atom_site_fract_z
Eu1 Eu 0.000 0.000 0.207
Tl1 Tl 0.500 0.500 0.500
H1 H 0.500 0.500 0.000


[3]
# Eu2TlH (GGA-PBE, relaxed)
# electronic total energy	-6.877	eV per atom
# magnetization	3.74	μB/atom
# N(E_F)	9.80	states/eV/cell
# energy relative to the lowest polymorph listed for this composition	0.000	eV per atom
# density	8.2	g cm⁻³
data_Eu2TlH
_chemical_formula_sum 'Eu6 Tl3 H3'
_cell_length_a 3.8588
_cell_length_b 3.8588
_cell_length_c 24.0704
_cell_angle_alpha 90.00
_cell_angle_beta 90.00
_cell_angle_gamma 120.00
_space_group_name_H-M_alt 'R -3 m'
_space_group_IT_number 166
_space_group_name_Hall '-R 3 2"'
loop_
_atom_site_label
_atom_site_type_symbol
_atom_site_fract_x
_atom_site_fract_y
_atom_site_fract_z
Eu1 Eu 0.0000 0.0000 0.2276
Tl1 Tl 0.0000 0.0000 0.0000
H1 H 0.0000 0.0000 0.5000


[4]
# EuTlH2 (GGA-PBE, relaxed)
# electronic total energy	-5.044	eV per atom
# magnetization	1.81	μB/atom
# N(E_F)	14.75	states/eV/cell
# density	8.2	g cm⁻³
data_EuTlH2
_chemical_formula_sum 'Eu3 Tl3 H6'
_cell_length_a 3.7743
_cell_length_b 3.7743
_cell_length_c 17.7164
_cell_angle_alpha 90.00
_cell_angle_beta 90.00
_cell_angle_gamma 120.00
_space_group_name_H-M_alt 'R -3 m'
_space_group_IT_number 166
_space_group_name_Hall '-R 3 2"'
loop_
_atom_site_label
_atom_site_type_symbol
_atom_site_fract_x
_atom_site_fract_y
_atom_site_fract_z
Eu1 Eu 0.0000 0.0000 0.0000
Tl1 Tl 0.0000 0.0000 0.5000
H1 H 0.0000 0.0000 0.2848


[5]
# Eu3TlH (GGA-PBE, relaxed)
# electronic total energy	-7.647	eV per atom
# magnetization	4.38	μB/atom
# N(E_F)	4.40	states/eV/cell
# density	8.2	g cm⁻³
data_Eu3TlH
_chemical_formula_sum 'Eu3 Tl1 H1'
_cell_length_a 5.118
_cell_length_b 5.118
_cell_length_c 5.118
_cell_angle_alpha 90.00
_cell_angle_beta 90.00
_cell_angle_gamma 90.00
_space_group_name_H-M_alt 'P m -3 m'
_space_group_IT_number 221
_space_group_name_Hall '-P 4 2 3'
loop_
_atom_site_label
_atom_site_type_symbol
_atom_site_fract_x
_atom_site_fract_y
_atom_site_fract_z
Eu1 Eu 0.000 0.000 0.500
Tl1 Tl 0.500 0.500 0.500
H1 H 0.000 0.000 0.000


[6]
# Eu2TmH (GGA-PBE, relaxed)
# electronic total energy	-7.032	eV per atom
# magnetization	3.67	μB/atom
# N(E_F)	4.26	states/eV/cell
# energy relative to the lowest polymorph listed for this composition	0.183	eV per atom
# density	7.4	g cm⁻³
data_Eu2TmH
_chemical_formula_sum 'Eu2 Tm1 H1'
_cell_length_a 3.418
_cell_length_b 3.418
_cell_length_c 9.055
_cell_angle_alpha 90.00
_cell_angle_beta 90.00
_cell_angle_gamma 90.00
_space_group_name_H-M_alt 'P 4/m m m'
_space_group_IT_number 123
_space_group_name_Hall '-P 4 2'
loop_
_atom_site_label
_atom_site_type_symbol
_atom_site_fract_x
_atom_site_fract_y
_atom_site_fract_z
Eu1 Eu 0.000 0.000 0.185
Tm1 Tm 0.500 0.500 0.500
H1 H 0.500 0.500 0.000


[7]
# Eu2TmH (GGA-PBE, relaxed)
# electronic total energy	-7.215	eV per atom
# magnetization	3.75	μB/atom
# N(E_F)	12.96	states/eV/cell
# energy relative to the lowest polymorph listed for this composition	0.000	eV per atom
# density	7.4	g cm⁻³
data_Eu2TmH
_chemical_formula_sum 'Eu6 Tm3 H3'
_cell_length_a 3.6710
_cell_length_b 3.6710
_cell_length_c 27.3497
_cell_angle_alpha 90.00
_cell_angle_beta 90.00
_cell_angle_gamma 120.00
_space_group_name_H-M_alt 'R -3 m'
_space_group_IT_number 166
_space_group_name_Hall '-R 3 2"'
loop_
_atom_site_label
_atom_site_type_symbol
_atom_site_fract_x
_atom_site_fract_y
_atom_site_fract_z
Eu1 Eu 0.0000 0.0000 0.2218
Tm1 Tm 0.0000 0.0000 0.0000
H1 H 0.0000 0.0000 0.5000


[8]
# Eu3Tm5H12 (GGA-PBE, relaxed)
# electronic total energy	-5.086	eV per atom
# magnetization	1.11	μB/atom
# N(E_F)	101.49	states/eV/cell
# density	7.5	g cm⁻³
data_Eu3Tm5H12
_chemical_formula_sum 'Eu24 Tm40 H96'
_cell_length_a 13.222
_cell_length_b 13.222
_cell_length_c 13.222
_cell_angle_alpha 90.00
_cell_angle_beta 90.00
_cell_angle_gamma 90.00
_space_group_name_H-M_alt 'I a -3 d'
_space_group_IT_number 230
_space_group_name_Hall '-I 4bd 2c 3'
loop_
_atom_site_label
_atom_site_type_symbol
_atom_site_fract_x
_atom_site_fract_y
_atom_site_fract_z
Eu1 Eu 0.000 0.250 0.125
Tm1 Tm 0.000 0.000 0.000
Tm2 Tm 0.000 0.250 0.375
H1 H 0.011 0.061 0.652